{"formula": "Na2PmCuF8", "functional": "PBE", "state": "optimized geometry", "cell": [[3.8648, 0.0000, 0.0000], [0.3781, 5.4481, 0.0000], [0.0247, 0.8173, 8.1681]], "species": ["Na", "Na", "Pm", "Cu", "F", "F", "F", "F", "F", "F", "F", "F"], "frac_coords": [[0.0049, 0.0219, 0.2364], [0.9951, 0.9781, 0.7636], [0.5000, 0.5000, 0.5000], [0.5000, 0.5000, 0.0000], [0.0084, 0.2854, 0.4378], [0.1433, 0.7239, 0.0230], [0.4461, 0.3521, 0.2023], [0.4756, 0.1799, 0.6966], [0.5244, 0.8201, 0.3034], [0.5539, 0.6479, 0.7977], [0.8567, 0.2761, 0.9770], [0.9916, 0.7146, 0.5622]], "e_form_raw_mev_per_atom": -2734, "dft_energy_ev_per_atom": -4.94, "space_group": "P-1 (2)"}